# Pr2CuTe3

An optimized crystal structure of Pr2CuTe3 (PBE, Alexandria via LeMat-Bulk).

Structure (POSCAR):
```
Pr2CuTe3
1.0
13.077 0.000 0.000
0.000 4.391 0.000
0.000 0.000 12.205
Pr Cu Te
8 4 12
Cartesian
0.453 1.098 2.246
2.874 1.098 5.849
3.664 3.293 11.951
6.086 3.293 8.349
6.991 1.098 3.856
9.413 1.098 0.254
10.203 3.293 6.357
12.624 3.293 9.959
2.626 3.293 2.762
3.912 1.098 8.865
9.165 3.293 3.341
10.451 1.098 9.443
0.769 3.293 4.604
1.435 1.098 11.398
2.625 3.293 8.358
3.913 1.098 2.256
5.104 3.293 5.296
5.769 1.098 10.707
7.308 3.293 1.499
7.973 1.098 6.910
9.164 3.293 9.950
10.452 1.098 3.847
11.642 3.293 0.807
12.308 1.098 7.602
```

Size of the total moment ... 0.000 μB per atom
ΔE_f (raw) ... -108.72 kJ/mol of atoms
Energy ... -0.3655 Ry per atom
V ... 29.20 Å³ per atom
Space-group type ... Pnma



# Pr3CuTe2

An optimized crystal structure of Pr3CuTe2 (PBE, Alexandria via LeMat-Bulk).

Structure (POSCAR):
```
Pr3CuTe2
1.0
3.806 -6.591 0.000
3.806 6.591 0.000
-2.569 0.000 7.401
Pr Cu Te
6 2 4
Cartesian
-0.083 2.289 5.660
1.147 0.000 1.697
-0.083 -2.289 5.660
5.126 2.289 1.740
3.896 0.000 5.703
5.126 -2.289 1.740
3.806 4.367 0.000
3.806 -4.367 0.000
-1.285 0.000 3.700
2.521 2.083 3.700
3.806 0.000 0.000
2.521 -2.083 3.700
```

Size of the total moment ... 0.000 μB per atom
ΔE_f (raw) ... -94.30 kJ/mol of atoms
Energy ... -0.3746 Ry per atom
V ... 30.94 Å³ per atom
Space-group type ... C2/m